# Pa3Ag2O8 PBE optimized geometry
data_Pa3Ag2O8
_symmetry_space_group_name_H-M 'C 1 2/m 1'
_symmetry_Int_Tables_number 12
_symmetry_space_group_name_Hall '-C 2y'
_cell_length_a 10.431
_cell_length_b 7.112
_cell_length_c 6.159
_cell_angle_alpha 90.00
_cell_angle_beta 100.59
_cell_angle_gamma 90.00
loop_
_atom_site_label
_atom_site_fract_x
_atom_site_fract_y
_atom_site_fract_z
Pa1 0.000 0.000 0.000
Pa2 0.000 0.256 0.500
Ag1 0.169 0.500 0.057
O1 0.093 0.000 0.363
O2 0.103 0.220 0.844
O3 0.104 0.500 0.406
# - uncorrected formation energy (kJ/mol of formula units) = -3297

=====

# Pa2AgO6 PBE optimized geometry
data_Pa2AgO6
_symmetry_space_group_name_H-M 'P 3 2 1'
_symmetry_Int_Tables_number 150
_symmetry_space_group_name_Hall 'P 3 2"'
_cell_length_a 9.6030
_cell_length_b 9.6030
_cell_length_c 5.1190
_cell_angle_alpha 90.00
_cell_angle_beta 90.00
_cell_angle_gamma 120.00
loop_
_atom_site_label
_atom_site_fract_x
_atom_site_fract_y
_atom_site_fract_z
Pa1 0.0000 0.3496 0.0000
Pa2 0.0000 0.6833 0.5000
Ag1 0.0000 0.0000 0.0000
Ag2 0.3333 0.6667 0.4977
O1 0.0942 0.5564 0.2576
O2 0.1109 0.2389 0.2338
O3 0.2114 0.4271 0.7375
# - uncorrected formation energy (kJ/mol of formula units) = -2363

=====

# Pa2Ag3O7 PBE optimized geometry
data_Pa2Ag3O7
_symmetry_space_group_name_H-M 'C m c 21'
_symmetry_Int_Tables_number 36
_symmetry_space_group_name_Hall 'C 2c -2'
_cell_length_a 21.665
_cell_length_b 5.759
_cell_length_c 6.227
_cell_angle_alpha 90.00
_cell_angle_beta 90.00
_cell_angle_gamma 90.00
loop_
_atom_site_label
_atom_site_fract_x
_atom_site_fract_y
_atom_site_fract_z
Pa1 0.096 0.243 0.000
Ag1 0.000 0.286 0.500
Ag2 0.250 0.250 0.251
O1 0.000 0.120 0.000
O2 0.071 0.499 0.251
O3 0.119 0.001 0.749
O4 0.194 0.367 0.001
# - uncorrected formation energy (kJ/mol of formula units) = -2388

=====

# PaAg2PbO6 PBE optimized geometry
data_PaAg2PbO6
_symmetry_space_group_name_H-M 'R 3'
_symmetry_Int_Tables_number 146
_symmetry_space_group_name_Hall 'R 3'
_cell_length_a 5.8039
_cell_length_b 5.8039
_cell_length_c 15.1239
_cell_angle_alpha 90.00
_cell_angle_beta 90.00
_cell_angle_gamma 120.00
loop_
_atom_site_label
_atom_site_fract_x
_atom_site_fract_y
_atom_site_fract_z
Pa1 0.0000 0.0000 0.0000
Ag1 0.0000 0.0000 0.2506
Ag2 0.0000 0.0000 0.7477
Pb1 0.0000 0.0000 0.4999
O1 0.0020 0.3874 0.7491
O2 0.0537 0.7192 0.5846
# - uncorrected formation energy (kJ/mol of formula units) = -1392

=====

# PaAgPbO5 PBE optimized geometry
data_PaAgPbO5
_symmetry_space_group_name_H-M 'C 1 2/c 1'
_symmetry_Int_Tables_number 15
_symmetry_space_group_name_Hall '-C 2yc'
_cell_length_a 6.648
_cell_length_b 10.301
_cell_length_c 8.221
_cell_angle_alpha 90.00
_cell_angle_beta 107.95
_cell_angle_gamma 90.00
loop_
_atom_site_label
_atom_site_fract_x
_atom_site_fract_y
_atom_site_fract_z
Pa1 0.000 0.000 0.000
Ag1 0.000 0.339 0.250
Pb1 0.000 0.323 0.750
O1 0.000 0.068 0.750
O2 0.017 0.203 0.069
O3 0.156 0.486 0.414
# - uncorrected formation energy (kJ/mol of formula units) = -1316

=====

# PaAg2PbO8 PBE optimized geometry
data_PaAg2PbO8
_symmetry_space_group_name_H-M 'I -4 m 2'
_symmetry_Int_Tables_number 119
_symmetry_space_group_name_Hall 'I -4 -2'
_cell_length_a 7.146
_cell_length_b 7.146
_cell_length_c 7.074
_cell_angle_alpha 90.00
_cell_angle_beta 90.00
_cell_angle_gamma 90.00
loop_
_atom_site_label
_atom_site_fract_x
_atom_site_fract_y
_atom_site_fract_z
Pa1 0.000 0.000 0.000
Ag1 0.000 0.000 0.500
Ag2 0.000 0.500 0.750
Pb1 0.000 0.500 0.250
O1 0.000 0.179 0.270
O2 0.000 0.317 0.985
# - uncorrected formation energy (kJ/mol of formula units) = -1091

=====

# PaAgPb2O5 PBE optimized geometry
data_PaAgPb2O5
_symmetry_space_group_name_H-M 'P 4/m m m'
_symmetry_Int_Tables_number 123
_symmetry_space_group_name_Hall '-P 4 2'
_cell_length_a 4.343
_cell_length_b 4.343
_cell_length_c 8.779
_cell_angle_alpha 90.00
_cell_angle_beta 90.00
_cell_angle_gamma 90.00
loop_
_atom_site_label
_atom_site_fract_x
_atom_site_fract_y
_atom_site_fract_z
Pa1 0.000 0.000 0.000
Ag1 0.000 0.000 0.500
Pb1 0.500 0.500 0.257
O1 0.000 0.000 0.248
O2 0.000 0.500 0.000
O3 0.500 0.500 0.500
# - uncorrected formation energy (kJ/mol of formula units) = -1526

=====

# PaAgPbO6 PBE optimized geometry
data_PaAgPbO6
_symmetry_space_group_name_H-M 'P 3 1 2'
_symmetry_Int_Tables_number 149
_symmetry_space_group_name_Hall 'P 3 2'
_cell_length_a 5.5456
_cell_length_b 5.5456
_cell_length_c 4.8556
_cell_angle_alpha 90.00
_cell_angle_beta 90.00
_cell_angle_gamma 120.00
loop_
_atom_site_label
_atom_site_fract_x
_atom_site_fract_y
_atom_site_fract_z
Pa1 0.0000 0.0000 0.0000
Ag1 0.3333 0.6667 0.5000
Pb1 0.6667 0.3333 0.5000
O1 0.3289 0.0029 0.7464
# - uncorrected formation energy (kJ/mol of formula units) = -1327

=====

# PaAgPb2O6 PBE optimized geometry
data_PaAgPb2O6
_symmetry_space_group_name_H-M 'C m c m'
_symmetry_Int_Tables_number 63
_symmetry_space_group_name_Hall '-C 2c 2'
_cell_length_a 11.197
_cell_length_b 12.034
_cell_length_c 5.591
_cell_angle_alpha 90.00
_cell_angle_beta 90.00
_cell_angle_gamma 90.00
loop_
_atom_site_label
_atom_site_fract_x
_atom_site_fract_y
_atom_site_fract_z
Pa1 0.000 0.100 0.250
Ag1 0.000 0.247 0.750
Pb1 0.239 0.367 0.250
O1 0.111 0.000 0.000
O2 0.124 0.228 0.008
# - uncorrected formation energy (kJ/mol of formula units) = -1612

=====

# PaAgPdO6 PBE optimized geometry
data_PaAgPdO6
_symmetry_space_group_name_H-M 'P -3 1 c'
_symmetry_Int_Tables_number 163
_symmetry_space_group_name_Hall '-P 3 2c'
_cell_length_a 5.4559
_cell_length_b 5.4559
_cell_length_c 9.3950
_cell_angle_alpha 90.00
_cell_angle_beta 90.00
_cell_angle_gamma 120.00
loop_
_atom_site_label
_atom_site_fract_x
_atom_site_fract_y
_atom_site_fract_z
Pa1 0.3333 0.6667 0.2500
Ag1 0.0000 0.0000 0.0000
Pd1 0.3333 0.6667 0.7500
O1 0.0177 0.3597 0.6311
# - uncorrected formation energy (kJ/mol of formula units) = -1197

=====

# PaAgPdO4 PBE optimized geometry
data_PaAgPdO4
_symmetry_space_group_name_H-M 'I m m a'
_symmetry_Int_Tables_number 74
_symmetry_space_group_name_Hall '-I 2b 2'
_cell_length_a 5.904
_cell_length_b 6.899
_cell_length_c 10.940
_cell_angle_alpha 90.00
_cell_angle_beta 90.00
_cell_angle_gamma 90.00
loop_
_atom_site_label
_atom_site_fract_x
_atom_site_fract_y
_atom_site_fract_z
Pa1 0.000 0.000 0.000
Ag1 0.000 0.250 0.315
Pd1 0.250 0.250 0.750
O1 0.000 0.052 0.795
O2 0.219 0.250 0.029
# - uncorrected formation energy (kJ/mol of formula units) = -1221

=====

# PaAgPdO5 PBE optimized geometry
data_PaAgPdO5
_symmetry_space_group_name_H-M 'C 1 2/c 1'
_symmetry_Int_Tables_number 15
_symmetry_space_group_name_Hall '-C 2yc'
_cell_length_a 7.111
_cell_length_b 10.228
_cell_length_c 7.556
_cell_angle_alpha 90.00
_cell_angle_beta 114.80
_cell_angle_gamma 90.00
loop_
_atom_site_label
_atom_site_fract_x
_atom_site_fract_y
_atom_site_fract_z
Pa1 0.000 0.000 0.000
Ag1 0.000 0.337 0.250
Pd1 0.000 0.305 0.750
O1 0.000 0.112 0.250
O2 0.166 0.160 0.710
O3 0.187 0.446 0.885
# - uncorrected formation energy (kJ/mol of formula units) = -1123